[1]
## NdY3Sc (PBE-GGA)

Data for a geometry-optimized NdY3Sc structure.

Results
* size of the total moment: 0.00 μB per atom
* E above lowest polymorph: 13.1 kJ/mol of atoms

```
NdY3Sc
1.0
3.7924 0.0000 0.0000
0.0000 10.5477 0.0000
0.0000 0.0000 8.2192
Nd Y Sc
2 6 2
Direct
0.2500 0.2500 0.0526
0.7500 0.7500 0.9474
0.2500 0.2500 0.4459
0.2500 0.5100 0.7353
0.2500 0.9900 0.7353
0.7500 0.0100 0.2647
0.7500 0.4900 0.2647
0.7500 0.7500 0.5541
0.2500 0.7500 0.2513
0.7500 0.2500 0.7487
```

---

[2]
## Nd7Y4Sc (PBE-GGA)

Data for a geometry-optimized Nd7Y4Sc structure.

Results
* size of the total moment: 0.00 μB per atom
* E above lowest polymorph: 0.0 kJ/mol of atoms

```
Nd7Y4Sc
1.0
6.2734 0.0000 0.0000
-0.0057 7.2888 0.0000
-2.0854 -0.0072 8.7485
Nd Y Sc
7 4 1
Direct
0.0000 0.0000 0.0000
0.2190 0.5003 0.6674
0.2267 0.0000 0.6643
0.5002 0.2542 0.0000
0.4998 0.7458 0.0000
0.7733 0.0000 0.3357
0.7810 0.4997 0.3326
0.2753 0.2537 0.3300
0.2753 0.7461 0.3298
0.7247 0.2539 0.6702
0.7247 0.7463 0.6700
0.0000 0.5000 0.0000
```

---

[3]
## NdY4Sc2 (PBE-GGA)

Data for a geometry-optimized NdY4Sc2 structure.

Results
* size of the total moment: 0.00 μB per atom
* E above lowest polymorph: 0.0 kJ/mol of atoms

```
NdY4Sc2
1.0
5.5984 0.0000 0.0000
0.0000 6.7335 0.0000
-2.6900 0.0000 11.3251
Nd Y Sc
2 8 4
Direct
0.0040 0.2500 0.1357
0.9960 0.7500 0.8643
0.1127 0.7500 0.1570
0.2302 0.2500 0.4277
0.3483 0.0014 0.7056
0.3483 0.4986 0.7056
0.6517 0.5014 0.2944
0.6517 0.9986 0.2944
0.7698 0.7500 0.5723
0.8873 0.2500 0.8430
0.2034 0.7500 0.4343
0.4442 0.2500 0.0049
0.5558 0.7500 0.9951
0.7966 0.2500 0.5657
```

---

[4]
## Nd3Y8Sc2 (PBE-GGA)

Data for a geometry-optimized Nd3Y8Sc2 structure.

Results
* size of the total moment: 0.00 μB per atom

```
Nd3Y8Sc2
1.0
7.7765 0.0000 0.0000
0.0000 5.6406 0.0000
-3.8772 0.0000 9.8119
Nd Y Sc
3 8 2
Direct
0.0000 0.0000 0.0000
0.2937 0.5000 0.9999
0.7063 0.5000 0.0001
0.1356 0.5000 0.2715
0.1774 0.0000 0.7724
0.3207 0.5000 0.6407
0.4051 0.0000 0.2274
0.5949 0.0000 0.7726
0.6793 0.5000 0.3593
0.8226 0.0000 0.2276
0.8644 0.5000 0.7285
0.2406 0.0000 0.4807
0.7594 0.0000 0.5193
```

---

Table of formation energy (eV/f.u.), in record order: 1.04 0.20 1.00 3.21
Table of E (eV per atom), in record order: -5.890 -5.447 -6.042 -5.805